(1)
Entry from Alexandria: a relaxed K2TlAsPb crystal (PBE).

```
K2TlAsPb
1.0
6.663 0.000 0.000
0.000 5.502 0.000
0.000 0.000 6.663
As K Pb Tl
1 2 1 1
Direct
0.000 0.500 0.000
0.500 0.000 0.000
0.000 0.000 0.500
0.000 0.000 0.000
0.500 0.500 0.500
```

Output
SG = P4/mmm, No. 123
Formation energy from the elements = 0.2471 eV per atom

=====

(2)
Entry from Alexandria: a relaxed KVAsPb2 crystal (PBE).

```
KVAsPb2
1.0
5.337 0.000 0.000
0.000 5.721 0.000
0.000 0.000 5.337
K V Pb As
1 1 2 1
Direct
0.000 0.500 0.000
0.000 0.000 0.000
0.000 0.000 0.500
0.500 0.000 0.000
0.500 0.500 0.500
```

Output
SG = P4/mmm, No. 123
Formation energy from the elements = 0.7219 eV per atom

=====

(3)
Entry from Alexandria: a relaxed KZnAsPb crystal (PBE).

```
KZnAsPb
1.0
4.297 0.000 0.000
0.000 4.297 0.000
0.000 0.000 13.345
As Zn Pb K
2 2 2 2
Direct
0.250 0.250 0.113
0.750 0.750 0.887
0.250 0.750 0.000
0.750 0.250 0.000
0.250 0.750 0.500
0.750 0.250 0.500
0.250 0.250 0.774
0.750 0.750 0.226
```

Output
SG = P4/nmm, No. 129
Formation energy from the elements = -0.2204 eV per atom

=====

Q: The highest formation energy from the elements belongs to which entry?
A: KVAsPb2

=====

Please write out number 3 again, unchanged.
Entry from Alexandria: a relaxed KZnAsPb crystal (PBE).

```
KZnAsPb
1.0
4.297 0.000 0.000
0.000 4.297 0.000
0.000 0.000 13.345
As Zn Pb K
2 2 2 2
Direct
0.250 0.250 0.113
0.750 0.750 0.887
0.250 0.750 0.000
0.750 0.250 0.000
0.250 0.750 0.500
0.750 0.250 0.500
0.250 0.250 0.774
0.750 0.750 0.226
```

Output
SG = P4/nmm, No. 129
Formation energy from the elements = -0.2204 eV per atom